Y2MnGe3Ir4 PBE-GGA relaxed; E = -7.8348 eV/atom; symmetry = P-4m2, No. 115; magnetic moment = 0.34 μB per atom; formation enthalpy at 0 K = -0.695 eV/atom; N(E_F) = 5.652 states/eV/cell
1.0
4.124 0.000 0.000
0.000 4.124 0.000
0.000 0.000 10.579
Y Mn Ge Ir
2 1 3 4
Cartesian
0.000 2.062 2.597
2.062 0.000 7.983
0.000 0.000 5.290
0.000 2.062 9.190
2.062 0.000 1.389
2.062 2.062 5.290
0.000 0.000 0.000
0.000 2.062 6.756
2.062 0.000 3.823
2.062 2.062 0.000